Entry 1:
The following is a DFT calculation (PBE) of crystalline Cs2TiHI6 at its relaxed geometry.

a b c (Å): 8.3413 8.3413 8.3413
angles (deg): 120.27 120.27 89.53
Last column: nearest neighbours and their distance in Å.
Atoms (fractional coordinates):
Cs 0.2500 0.7500 0.5000  12 I 4.16-4.17
Cs 0.7500 0.2500 0.5000  12 I 4.16-4.17
Ti 0.0000 0.0000 0.0000  6 I 2.78
H 0.5000 0.5000 0.0000  6 I 3.10-3.14
I 0.2349 0.2349 0.0000  1 Ti 2.78
I 0.2365 0.2365 0.4730  1 Ti 2.78, 1 H 3.10
I 0.2365 0.7635 0.0000  1 Ti 2.78, 1 H 3.10
I 0.7635 0.2365 0.0000  1 Ti 2.78, 1 H 3.10
I 0.7635 0.7635 0.5270  1 Ti 2.78, 1 H 3.10
I 0.7651 0.7651 0.0000  1 Ti 2.78

Output
Magnetization: 1.00 Bohr magnetons per cell
E_tot: -3.0111 eV/atom

---

Entry 2:
The following is a DFT calculation (PBE) of crystalline CsTlHI3 at its relaxed geometry.

a b c (Å): 9.3331 9.3331 11.7098
angles (deg): 90.00 90.00 146.12
Last column: nearest neighbours and their distance in Å.
Atoms (fractional coordinates):
Cs 0.2395 0.7605 0.7500  2 H 3.65, 6 I 3.73-4.09
Cs 0.7605 0.2395 0.2500  2 H 3.65, 6 I 3.73-4.09
Tl 0.5000 0.5000 0.0000  6 I 3.39-3.69
Tl 0.5000 0.5000 0.5000  6 I 3.39-3.69
H 0.1239 0.8761 0.2500  2 I 1.93
H 0.8761 0.1239 0.7500  2 I 1.93
I 0.1281 0.8719 0.0853  1 H 1.93
I 0.1281 0.8719 0.4147  1 H 1.93
I 0.4037 0.5963 0.2500  2 Tl 3.39, 2 Cs 3.73
I 0.5963 0.4037 0.7500  2 Tl 3.39, 2 Cs 3.73
I 0.8719 0.1281 0.5853  1 H 1.93
I 0.8719 0.1281 0.9147  1 H 1.93

Output
Magnetization: 0.00 Bohr magnetons per cell
E_tot: -2.5864 eV/atom